VASP calculation (SCAN) on a PBEsol-optimized structure of LaMo.

POSCAR file:
```
LaMo
1.0
3.231 0.000 0.000
-1.616 2.798 0.000
0.000 0.000 10.214
La Mo
2 2
Direct
0.333 0.667 0.337
0.667 0.333 0.663
0.333 0.667 0.918
0.667 0.333 0.082
```

## Properties
The calculation puts the formation energy at 0.563 eV/atom. The calculation puts the final energy at -38.432 eV/atom. The value obtained for the volume is 23.09 A^3/atom. The value obtained for the density of states at the Fermi level is 4.1 states/eV per cell. Its energy above the lowest structure with this stoichiometry is 297 meV/atom.